Entry 1:
Density functional theory data (PBE-GGA) for crystalline NiHg2As at its relaxed geometry.

Computed properties:
For the energy of formation from the pure elements, the calculation gives 0.39 eV per atom. The space-group type is I-42d. The total energy comes out at -18.9 eV per cell.

Cell lengths 4.0873, 4.0873, 10.1283 Å; angles 78.36, 78.36, 90.00 degrees
Fractional coordinates of all 8 atoms:
Ni  0.5000  0.5000  0.0000
Ni  0.2500  0.7500  0.5000
As  0.0000  0.0000  0.0000
As  0.7500  0.2500  0.5000
Hg  0.6130  0.1250  0.2500
Hg  0.1370  0.6250  0.2500
Hg  0.3750  0.3870  0.7500
Hg  0.8750  0.8630  0.7500

=====

Entry 2:
Density functional theory data (PBE-GGA) for crystalline NiHg2As at its relaxed geometry.

Computed properties:
For the energy of formation from the pure elements, the calculation gives 0.39 eV per atom. The space-group type is Pmmm. The total energy comes out at -9.5 eV per cell.

Cell lengths 4.2428, 4.2209, 4.1910 Å; angles 90.00, 90.00, 90.00 degrees
Fractional coordinates of all 4 atoms:
As  0.0000  0.5000  0.5000
Hg  0.0000  0.0000  0.0000
Hg  0.5000  0.5000  0.0000
Ni  0.5000  0.0000  0.5000

=====

Entry 3:
Density functional theory data (PBE-GGA) for crystalline NiHgAs2 at its relaxed geometry.

Computed properties:
For the energy of formation from the pure elements, the calculation gives 0.18 eV per atom. The space-group type is P4mm. The total energy comes out at -14.7 eV per cell.

Cell lengths 2.9720, 2.9720, 8.3099 Å; angles 90.00, 90.00, 90.02 degrees
Fractional coordinates of all 4 atoms:
As  0.0000  0.0000  0.9277
As  0.5000  0.5000  0.2594
Hg  0.0000  0.0000  0.5386
Ni  0.5000  0.5000  0.7742

=====

Entry 4:
Density functional theory data (PBE-GGA) for crystalline NiHgAs2 at its relaxed geometry.

Computed properties:
For the energy of formation from the pure elements, the calculation gives 0.13 eV per atom. The space-group type is I-42d. The total energy comes out at -29.7 eV per cell.

Cell lengths 5.8849, 5.8849, 6.8177 Å; angles 64.43, 64.43, 90.00 degrees
Fractional coordinates of all 8 atoms:
Ni  0.5000  0.5000  0.0000
Ni  0.2500  0.7500  0.5000
As  0.5533  0.1250  0.2500
As  0.1967  0.6250  0.2500
As  0.3750  0.4467  0.7500
As  0.8750  0.8033  0.7500
Hg  0.0000  0.0000  0.0000
Hg  0.7500  0.2500  0.5000